MgAsW2 (GGA-PBE, optimized geometry); magnetic moment = 0.000 μB/f.u.; volume = 17.37 Å³/atom; distance to the lowest polymorph of the same formula = 78 meV/atom; ΔH_f (0 K) = 1.06 eV per formula unit; E_tot = -7.77 eV per atom; D(E_F) = 2.25 states/eV/cell; symmetry = Cmm2, No. 35
1.0
-2.145 1.219 1.440
1.014 -2.232 1.466
5.906 5.437 4.192
W As Mg
2 1 1
direct
0.000 0.000 0.014
0.500 0.500 0.247
0.000 0.000 0.480
0.500 0.500 0.759